1.
4
Lattice="2.9995 0.0000 0.0000 0.0000 3.2291 0.0149 0.0000 -0.0868 8.5699" Properties=species:S:1:pos:R:3 comment="MnMoCl2 PBE relaxed" mass_density_g_cm3=4.4 n_ef_per_ev_cell=1.615 total_magnetization_mub_per_cell=1.72 dft_energy_ev_per_cell=-24.67 de_polymorph_mev_per_atom=60 pbc="T T T"
Mo 1.4998 2.7662 6.1009
Mn 0.0000 1.1584 4.5810
Cl 1.4998 1.1715 2.8051
Cl 0.0000 2.7596 7.9750



2.
4
Lattice="3.3996 0.0036 0.0000 -1.8951 2.8224 0.0000 0.0000 0.0000 9.9601" Properties=species:S:1:pos:R:3 comment="AlMoBr2 PBE relaxed" mass_density_g_cm3=4.9 n_ef_per_ev_cell=1.056 total_magnetization_mub_per_cell=0.94 dft_energy_ev_per_cell=-17.75 de_polymorph_mev_per_atom=251 pbc="T T T"
Br 0.0000 0.0000 9.2411
Br 0.7522 1.4130 3.1937
Al 0.7522 1.4130 7.2901
Mo 0.0000 0.0000 5.1754



3.
8
Lattice="-6.0475 3.1345 2.6132 -3.2419 -6.5275 0.3274 -3.7731 -2.0094 3.8627" Properties=species:S:1:pos:R:3 comment="LiHfW2 PBE relaxed" mass_density_g_cm3=13.5 n_ef_per_ev_cell=5.144 formation_energy_ev_per_atom=0.9191 total_magnetization_mub_per_cell=0.00 dft_energy_ev_per_cell=-68.19 de_polymorph_mev_per_atom=180 pbc="T T T"
W -10.8472 -4.2528 5.4588
W -6.4242 -3.0026 4.0109
W -3.9321 -4.0831 1.5862
W -4.9214 0.5336 2.5505
Hf -7.2326 -0.2857 3.9730
Hf 0.0000 0.0000 0.0000
Li -4.6447 -1.6965 1.4703
Li -5.8298 -5.1167 2.8301



4.
4
Lattice="-1.7028 -5.7512 7.2952 -0.2725 -7.8264 5.2791 1.5176 -5.9364 7.1869" Properties=species:S:1:pos:R:3 comment="CdIn2Ir PBE relaxed" mass_density_g_cm3=10.6 n_ef_per_ev_cell=1.472 formation_energy_ev_per_atom=0.1126 total_magnetization_mub_per_cell=0.00 dft_energy_ev_per_cell=-14.80 pbc="T T T"
Ir -0.1144 -4.8785 4.9403
In -0.4534 -19.3332 19.5781
In -0.2331 -9.9378 10.0637
Cd -0.3433 -14.6355 14.8209



5.
12
Lattice="0.2055 0.7345 -4.3818 -1.7258 -5.9610 -1.0802 -6.4786 1.4772 2.1982" Properties=species:S:1:pos:R:3 comment="HfMg5Rh6 PBE relaxed" mass_density_g_cm3=8.2 n_ef_per_ev_cell=3.878 formation_energy_ev_per_atom=-0.6583 total_magnetization_mub_per_cell=0.00 dft_energy_ev_per_cell=-69.94 pbc="T T T"
Rh -0.3278 -1.1198 -2.4603
Rh -4.5970 0.1159 -2.4542
Rh -2.5366 -0.8767 -0.2681
Rh -7.6710 -2.6294 -0.8035
Rh -5.4622 -2.8726 -2.9957
Rh -3.4018 -3.8652 -0.8096
Mg -5.9379 -4.7424 -1.0751
Mg -2.8904 -1.9970 -2.7285
Mg -5.1083 -1.7522 -0.5353
Mg -2.0609 0.9932 -2.1887
Mg -0.8629 -2.9805 -0.5401
Hf 0.0000 0.0000 0.0000



6.
7
Lattice="-2.7169 2.4328 3.4073 -3.5240 -1.0632 -2.0508 2.6764 -6.3978 3.0466" Properties=species:S:1:pos:R:3 comment="Ba2HfSO3 PBE relaxed" mass_density_g_cm3=6.2 n_ef_per_ev_cell=0.000 total_magnetization_mub_per_cell=0.00 dft_energy_ev_per_cell=-51.04 pbc="T T T"
O -0.1369 -1.7611 1.1482
O -3.4276 -3.2671 3.2549
O -1.7620 -0.5316 -1.0254
Ba -3.2603 -1.1149 1.8517
Ba -0.3042 -3.9133 2.5515
S -1.3584 1.2164 1.7037
Hf 0.0000 0.0000 0.0000